# LaGa2P2Pt7 PBE-GGA optimized geometry
data_LaGa2P2Pt7
_chemical_formula_sum 'La2 Ga4 P4 Pt14'
_cell_length_a 5.634
_cell_length_b 5.612
_cell_length_c 14.504
_cell_angle_alpha 90.00
_cell_angle_beta 96.11
_cell_angle_gamma 90.00
_symmetry_space_group_name_H-M 'C 1 2/m 1'
_symmetry_Int_Tables_number 12
loop_
_symmetry_equiv_pos_as_xyz
'x,y,z'
'-x,-y,-z'
'-x,y,-z'
'x,-y,z'
'x+1/2,y+1/2,z'
'-x+1/2,-y+1/2,-z'
'-x+1/2,y+1/2,-z'
'x+1/2,-y+1/2,z'
loop_
_atom_site_label
_atom_site_fract_x
_atom_site_fract_y
_atom_site_fract_z
La1 0.000 0.000 0.000
Ga1 0.134 0.000 0.426
P1 0.072 0.500 0.255
Pt1 0.000 0.500 0.000
Pt2 0.088 0.500 0.411
Pt3 0.203 0.250 0.835
# N(E_F), states/eV per atom: 0.47
# Density, g/cm3: 12.43
# Energy of formation, eV per formula unit: -6.71

# AcNd2Th PBE-GGA optimized geometry
data_AcNd2Th
_chemical_formula_sum 'Ac3 Nd6 Th3'
_cell_length_a 3.7299
_cell_length_b 3.7299
_cell_length_c 36.4726
_cell_angle_alpha 90.00
_cell_angle_beta 90.00
_cell_angle_gamma 120.00
_symmetry_space_group_name_H-M 'R 3 m'
_symmetry_Int_Tables_number 160
_symmetry_space_group_name_Hall 'R 3 -2"'
loop_
_atom_site_label
_atom_site_fract_x
_atom_site_fract_y
_atom_site_fract_z
Ac1 0.0000 0.0000 0.0000
Nd1 0.0000 0.0000 0.5778
Nd2 0.0000 0.0000 0.7550
Th1 0.0000 0.0000 0.1665
# N(E_F), states/eV per atom: 1.44
# Density, g/cm3: 8.47
# E above lowest polymorph, meV per atom: 7
# Energy of formation, eV per formula unit: 0.21

# TbGd2Sb PBE-GGA optimized geometry
data_TbGd2Sb
_chemical_formula_sum 'Tb1 Gd2 Sb1'
_cell_length_a 4.063
_cell_length_b 4.063
_cell_length_c 7.144
_cell_angle_alpha 90.00
_cell_angle_beta 90.00
_cell_angle_gamma 90.00
_symmetry_space_group_name_H-M 'P 4/m m m'
_symmetry_Int_Tables_number 123
_symmetry_space_group_name_Hall '-P 4 2'
loop_
_atom_site_label
_atom_site_fract_x
_atom_site_fract_y
_atom_site_fract_z
Tb1 0.000 0.000 0.000
Gd1 0.500 0.500 0.278
Sb1 0.000 0.000 0.500
# N(E_F), states/eV per atom: 1.29
# E_form (uncorrected), meV/atom: -516.2
# Density, g/cm3: 8.38
# E above lowest polymorph, meV per atom: 4

# IrBr5 PBE-GGA optimized geometry
data_IrBr5
_chemical_formula_sum 'Ir4 Br20'
_cell_length_a 8.588
_cell_length_b 8.588
_cell_length_c 8.588
_cell_angle_alpha 90.00
_cell_angle_beta 90.00
_cell_angle_gamma 90.00
_symmetry_space_group_name_H-M 'F -4 3 m'
_symmetry_Int_Tables_number 216
_symmetry_space_group_name_Hall 'F -4 2 3'
loop_
_atom_site_label
_atom_site_fract_x
_atom_site_fract_y
_atom_site_fract_z
Ir1 0.000 0.000 0.000
Br1 0.125 0.125 0.375
Br2 0.250 0.250 0.750
# N(E_F), states/eV per atom: 1.47
# E_form (uncorrected), meV/atom: 1391.0
# Density, g/cm3: 6.20
# E above lowest polymorph, meV per atom: 1141